## PrNd5HoTm2 (PBE-GGA)

Data for PrNd5HoTm2 after structural relaxation.

a b c (Å): 10.5852 10.5852 10.7989
angles (deg): 90.00 90.00 149.01
With the nearest neighbours (Å) after each atom.
Positions (direct):
Pr1 0.2021 0.7979 0.5000  2 Tm 3.46-3.74, 8 Nd 3.52-3.86, 2 Ho 3.69
Pr2 0.7979 0.2021 0.0000  2 Tm 3.46-3.74, 8 Nd 3.52-3.86, 2 Ho 3.69
Nd1 0.0162 0.9838 0.5134  2 Ho 3.27, 3 Tm 3.48-3.60
Nd2 0.2817 0.7183 0.7989  1 Ho 3.09, 1 Tm 3.38, 2 Nd 3.44
Nd3 0.2963 0.7037 0.1940  3 Nd 3.44-3.77, 3 Pr 3.52-3.82, 1 Ho 3.52, 3 Tm 3.56-3.83
Nd4 0.3914 0.6086 0.5162  5 Nd 3.52-3.81, 4 Tm 3.63-3.66, 1 Pr 3.86
Nd5 0.4799 0.5201 0.2336  2 Ho 3.23-3.38, 2 Nd 3.52-3.55, 2 Tm 3.53
Nd6 0.5201 0.4799 0.7336  2 Ho 3.23-3.38, 2 Nd 3.52-3.55, 2 Tm 3.53
Nd7 0.6086 0.3914 0.0162  5 Nd 3.52-3.81, 4 Tm 3.63-3.66, 1 Pr 3.86
Nd8 0.7037 0.2963 0.6940  3 Nd 3.44-3.77, 3 Pr 3.52-3.82, 1 Ho 3.52, 3 Tm 3.56-3.83
Nd9 0.7183 0.2817 0.2989  1 Ho 3.09, 1 Tm 3.38, 2 Nd 3.44
Nd10 0.9838 0.0162 0.0134  2 Ho 3.27, 3 Tm 3.48-3.60
Ho1 0.4106 0.5894 0.9493  5 Nd 3.09-3.38
Ho2 0.5894 0.4106 0.4493  5 Nd 3.09-3.38
Tm1 0.1096 0.8904 0.2311  1 Pr 3.46, 9 Nd 3.48-3.87, 2 Ho 3.70
Tm2 0.1161 0.8839 0.8063  9 Nd 3.38-3.76, 1 Pr 3.74
Tm3 0.8839 0.1161 0.3063  9 Nd 3.38-3.76, 1 Pr 3.74
Tm4 0.8904 0.1096 0.7311  1 Pr 3.46, 9 Nd 3.48-3.87, 2 Ho 3.70

Values from the calculation:
M_tot, μB per atom: 0.000
Uncorrected energy, eV per atom: -4.535
Formation enthalpy at 0 K, eV/f.u.: 1.32